First-principles (GGA-PBEsol) data for a relaxed ZrCoP crystal, as listed in Alexandria via LeMat-Bulk.

* formation enthalpy at 0 K: -0.46 eV per atom
* symmetry: I4mm
* calculated volume: 44.8 Å³/f.u.
* final energy: -8.00 eV/atom

a = 4.4676 Å, b = 4.4676 Å, c = 4.4676 Å
α = 134.41°, β = 134.41°, γ = 66.45°
Last column: nearest neighbours and their distance in Å.
Fractional coordinates of all 3 atoms:
Zr: 0.0000 0.0000 0.0000  5 P 2.56-2.72, 5 Co 2.63-2.69
Co: 0.6484 0.6484 0.0000  1 P 2.29
P: 0.3420 0.3420 0.0000  1 Co 2.29, 1 Zr 2.56